Below is crystalline HfCrSb2Te at its relaxed geometry, with properties calculated at the PBE level.

Results
- Final energy: -25.42 eV/cell
- E_form (uncorrected): 1.108 eV per atom

Lattice parameters (Å, degrees): 5.505 5.505 5.431 90.00 90.00 90.00
Fractional coordinates of all 5 atoms:
Hf: 0.000 0.000 0.000
Cr: 0.500 0.500 0.500
Sb: 0.000 0.500 0.000
Sb: 0.500 0.000 0.000
Te: 0.000 0.000 0.500